Entry from Alexandria: a relaxed structure of Ta3TiMo (PBE).

The structure belongs to space group Cm (No. 8); the cell edges are 13.4969, 4.5611 and 2.8611 Å and the angles 90.00°, 97.87° and 90.00°. The inequivalent atoms are Ta at (0.0000, 0.0000, 0.0000), Ta at (0.1020, 0.5000, 0.4444), Ta at (0.3938, 0.0000, 0.6238), Ti at (0.2957, 0.5000, 0.1613) and Mo at (0.1986, 0.0000, 0.8038).

The density of states at the Fermi level comes out at 1.22 states/eV/atom. The value obtained for the formation energy from the elements is -21 kJ/mol of formula units. The total magnetization is 0.00 Bohr magnetons per cell.

Entry from Alexandria: a relaxed structure of TaTiMo (PBE).

The structure belongs to space group Cm (No. 8); the cell edges are 9.7458, 4.4923 and 5.6455 Å and the angles 90.00°, 125.04° and 90.00°. The inequivalent atoms are Ta at (0.0000, 0.0000, 0.0000), Ta at (0.1581, 0.5000, 0.8358), Ti at (0.1914, 0.5000, 0.3636), Ti at (0.3488, 0.0000, 0.2014), Mo at (0.0150, 0.0000, 0.5156) and Mo at (0.3355, 0.0000, 0.6829).

The density of states at the Fermi level comes out at 1.30 states/eV/atom. The value obtained for the formation energy from the elements is -31 kJ/mol of formula units. The total magnetization is 0.00 Bohr magnetons per cell.

Entry from Alexandria: a relaxed structure of TaTi2Mo2 (PBE).

The structure belongs to space group C2/m (No. 12); the cell edges are 7.8295, 4.5258 and 5.3529 Å and the angles 90.00°, 119.27° and 90.00°. The inequivalent atoms are Ta at (0.0000, 0.0000, 0.0000), Ti at (0.2094, 0.0000, 0.6280) and Mo at (0.0933, 0.5000, 0.7806).

The density of states at the Fermi level comes out at 1.37 states/eV/atom. The value obtained for the formation energy from the elements is -71 kJ/mol of formula units. The total magnetization is 0.00 Bohr magnetons per cell.

Entry from Alexandria: a relaxed structure of TaTiMo (PBE).

The structure belongs to space group P3m1 (No. 156); the cell edges are 4.5171, 4.5171 and 2.8641 Å and the angles 90.00°, 90.00° and 120.00°. The inequivalent atoms are Ta at (0.0000, 0.0000, 0.0000), Ti at (0.6667, 0.3333, 0.5912) and Mo at (0.3333, 0.6667, 0.2904).

The density of states at the Fermi level comes out at 1.14 states/eV/atom. The value obtained for the formation energy from the elements is -28 kJ/mol of formula units. The total magnetization is 0.00 Bohr magnetons per cell.

Entry from Alexandria: a relaxed structure of Ta6TiMo (PBE).

The structure belongs to space group R-3m (No. 166, hexagonal axes); the cell edges are 9.5491, 9.5491 and 5.5067 Å and the angles 90.00°, 90.00° and 120.00°. The inequivalent atoms are Ta at (0.0024, 0.5012, 0.2506), Ti at (0.0000, 0.0000, 0.0000) and Mo at (0.0000, 0.0000, 0.5000).

The density of states at the Fermi level comes out at 1.09 states/eV/atom. The value obtained for the formation energy from the elements is 127 kJ/mol of formula units. The total magnetization is 0.00 Bohr magnetons per cell.

Entry from Alexandria: a relaxed structure of TaTiMo (PBE).

The structure belongs to space group P-3m1 (No. 164); the cell edges are 4.5599, 4.5599 and 5.5944 Å and the angles 90.00°, 90.00° and 120.00°. The inequivalent atoms are Ta at (0.3333, 0.6667, 0.1789), Ti at (0.0000, 0.0000, 0.0000), Ti at (0.0000, 0.0000, 0.5000) and Mo at (0.3333, 0.6667, 0.6767).

The density of states at the Fermi level comes out at 1.32 states/eV/atom. The value obtained for the formation energy from the elements is -31 kJ/mol of formula units. The total magnetization is 0.00 Bohr magnetons per cell.

Entry from Alexandria: a relaxed structure of TaTiMo (PBE).

The structure belongs to space group Cmcm (No. 63); the cell edges are 4.5197, 13.8460 and 3.2331 Å and the angles 90.00°, 90.00° and 90.00°. The inequivalent atoms are Ta at (0.0000, 0.2412, 0.2500), Ti at (0.0000, 0.4143, 0.7500) and Mo at (0.0000, 0.0771, 0.7500).

The density of states at the Fermi level comes out at 1.06 states/eV/atom. The value obtained for the formation energy from the elements is -25 kJ/mol of formula units. The total magnetization is 0.00 Bohr magnetons per cell.

Entry from Alexandria: a relaxed structure of TaTi3Mo (PBE).

The structure belongs to space group Pm-3m (No. 221); the cell edges are 4.6856, 4.6856 and 4.6856 Å and the angles 90.00°, 90.00° and 90.00°. The inequivalent atoms are Ta at (0.0000, 0.0000, 0.0000), Ti at (0.0000, 0.0000, 0.5000) and Mo at (0.5000, 0.5000, 0.5000).

The density of states at the Fermi level comes out at 1.59 states/eV/atom. The value obtained for the formation energy from the elements is 672 kJ/mol of formula units. The total magnetization is 0.00 Bohr magnetons per cell.

Entry from Alexandria: a relaxed structure of Ta2Ti3Mo7 (PBE).

The structure belongs to space group Cmmm (No. 65); the cell edges are 4.4081, 21.5634 and 4.5272 Å and the angles 90.00°, 90.00° and 90.00°. The inequivalent atoms are Ta at (0.0000, 0.1451, 0.0000), Ti at (0.0000, 0.3483, 0.5000), Ti at (0.0000, 0.5000, 0.5000), Mo at (0.0000, 0.0000, 0.0000), Mo at (0.0000, 0.0723, 0.5000), Mo at (0.0000, 0.2803, 0.0000) and Mo at (0.0000, 0.4258, 0.0000).

The density of states at the Fermi level comes out at 1.33 states/eV/atom. The value obtained for the formation energy from the elements is 347 kJ/mol of formula units. The total magnetization is 0.00 Bohr magnetons per cell.

Entry from Alexandria: a relaxed structure of Ta2TiMo6 (PBE).

The structure belongs to space group P-31m (No. 162); the cell edges are 7.7397, 7.7397 and 2.8303 Å and the angles 90.00°, 90.00° and 120.00°. The inequivalent atoms are Ta at (0.3333, 0.6667, 0.0000), Ti at (0.0000, 0.0000, 0.0000) and Mo at (0.0000, 0.3311, 0.3442).

The density of states at the Fermi level comes out at 0.72 states/eV/atom. The value obtained for the formation energy from the elements is -110 kJ/mol of formula units. The total magnetization is 0.00 Bohr magnetons per cell.

Entry from Alexandria: a relaxed structure of TaTiMo3 (PBE).

The structure belongs to space group Pm-3m (No. 221); the cell edges are 4.7476, 4.7476 and 4.7476 Å and the angles 90.00°, 90.00° and 90.00°. The inequivalent atoms are Ta at (0.0000, 0.0000, 0.0000), Ti at (0.5000, 0.5000, 0.5000) and Mo at (0.0000, 0.0000, 0.5000).

The density of states at the Fermi level comes out at 1.46 states/eV/atom. The value obtained for the formation energy from the elements is 818 kJ/mol of formula units. The total magnetization is 2.16 Bohr magnetons per cell.

Entry from Alexandria: a relaxed structure of Ta5Ti2Mo4 (PBE).

The structure belongs to space group C2/m (No. 12); the cell edges are 17.8908, 4.2856 and 5.7603 Å and the angles 90.00°, 101.43° and 90.00°. The inequivalent atoms are Ta at (0.0000, 0.0000, 0.0000), Ta at (0.2053, 0.5000, 0.1126), Ta at (0.2134, 0.5000, 0.6327), Ti at (0.0673, 0.5000, 0.7169), Mo at (0.0698, 0.5000, 0.2175) and Mo at (0.1386, 0.0000, 0.4268).

The density of states at the Fermi level comes out at 1.09 states/eV/atom. The value obtained for the formation energy from the elements is 639 kJ/mol of formula units. The total magnetization is 0.00 Bohr magnetons per cell.